! Pm6SmTh (PBE-GGA, optimized geometry); values from VASP
&SYSTEM
  ibrav = 0, nat = 8, ntyp = 3
/
ATOMIC_SPECIES
Pm 145.00 Pm.upf
Sm 150.36 Sm.upf
Th 232.04 Th.upf
CELL_PARAMETERS angstrom
6.660 0.000 0.000
0.181 6.760 0.000
0.209 3.350 6.026
ATOMIC_POSITIONS angstrom
Pm 1.811 4.822 3.001
Pm 1.810 6.230 0.018
Pm 1.954 6.193 5.996
Pm 5.096 3.917 0.029
Pm 5.240 3.880 6.007
Pm 5.239 5.288 3.024
Sm 3.434 1.675 3.013
Th 0.104 1.675 3.013
! - E above lowest polymorph (meV/atom) = 163
! - E_tot (eV/atom) = -4.885
! - SG = No. 2